Entry 1:
The following is a GGA-PBE calculation of a geometry-optimized Ir2W structure, from Alexandria via LeMat-Bulk.

POSCAR file:
```
Ir2W
1.0
5.0816 -1.3869 0.0000
5.0816 1.3869 0.0000
-1.6129 0.0000 6.3847
Ir W
4 2
Direct
0.0298 0.0298 0.3097
0.3595 0.3595 0.9634
0.6405 0.6405 0.0366
0.9702 0.9702 0.6903
0.3090 0.3090 0.3552
0.6910 0.6910 0.6448
```

Summary:
DFT total energy   -31.29 eV per formula unit

***

Entry 2:
The following is a GGA-PBE calculation of a geometry-optimized KSmAg2F8 structure, from Alexandria via LeMat-Bulk.

POSCAR file:
```
KSmAg2F8
1.0
-3.0292 3.0292 5.2207
3.0292 -3.0292 5.2207
3.0292 3.0292 -5.2207
K Sm Ag F
1 1 2 8
Direct
0.0000 0.0000 0.0000
0.7500 0.2500 0.5000
0.2500 0.7500 0.5000
0.5000 0.5000 0.0000
0.0044 0.6073 0.0245
0.0201 0.9956 0.6029
0.1237 0.3319 0.5699
0.3927 0.4173 0.3971
0.4462 0.8763 0.2082
0.5827 0.9799 0.9755
0.6681 0.2380 0.7918
0.7620 0.5538 0.4301
```

Summary:
E_form (uncorrected)   -2.35 eV per atom